Record 1
Here is a PBEsol-optimized structure of BeCdPO2 from Alexandria via LeMat-Bulk. Energies are from SCAN.

The structure in extended XYZ format:
```
5
Lattice="-1.527 0.359 3.603 -3.196 -1.970 -1.158 2.260 -4.492 1.405" Properties=species:S:1:pos:R:3 pbc="T T T"
Be -1.231 -3.052 1.925
Cd 0.000 0.000 0.000
P 1.130 -2.246 0.703
O -0.763 0.179 1.801
O -1.598 -0.985 -0.579
```

Computed properties:
- Formation energy from raw total energies: 806.1 meV per atom

Record 2
Here is a PBEsol-optimized structure of Be3Cd4Si3TeO12 from Alexandria via LeMat-Bulk. Energies are from SCAN.

The structure in extended XYZ format:
```
46
Lattice="-4.163 -4.565 5.976 2.618 -7.283 -3.740 7.050 0.009 4.918" Properties=species:S:1:pos:R:3 pbc="T T T"
O 5.209 -2.866 2.240
Si 2.484 -1.137 3.953
Cd 1.012 -2.176 1.315
Be 5.488 -5.458 -0.346
O 0.916 -8.798 0.900
O 3.467 -8.426 0.359
O -0.399 -3.047 2.775
O -1.048 -8.009 3.707
Cd 2.837 -5.057 8.204
Be 4.179 -1.816 1.524
Si -1.427 -4.103 2.053
O 4.049 -3.632 7.028
O 2.844 -1.727 2.465
Te 0.000 0.000 0.000
O 2.350 -8.970 6.348
O 6.048 -4.186 5.389
O 6.891 -4.773 2.963
Si 3.071 -3.639 -0.640
Be 0.268 -4.783 -0.376
Te 2.752 -5.920 3.577
O 3.919 -4.999 -0.288
Cd 4.332 -3.740 4.070
O -0.025 -3.416 5.357
Cd 7.125 -6.776 2.060
O 3.251 -2.083 5.053
O 1.558 -3.837 -0.037
Be -1.814 -7.065 2.612
Cd 3.764 -8.095 4.892
O 0.808 -4.960 7.335
Be 3.206 -2.276 6.676
O -1.307 -5.529 2.856
Cd 0.210 -5.422 4.459
O 3.607 -7.060 7.675
Si 0.402 -3.419 6.941
Si 6.596 -3.635 1.818
O 5.609 -6.878 0.456
Cd 2.703 -6.421 0.888
O 1.747 -10.113 4.053
O -0.471 -6.843 6.008
O 5.593 -7.645 6.046
O 0.674 -6.317 0.017
Be -0.319 -2.280 4.217
Cd 0.034 -9.669 2.729
O 6.442 -8.201 3.605
Si -0.118 -7.745 0.183
O 4.316 -9.754 3.540
```

Computed properties:
- Formation energy from raw total energies: -2402.2 meV per atom

Record 3
Here is a PBEsol-optimized structure of BeCdOs2 from Alexandria via LeMat-Bulk. Energies are from SCAN.

The structure in extended XYZ format:
```
4
Lattice="3.731 0.000 0.000 0.000 3.731 0.000 0.000 0.000 4.093" Properties=species:S:1:pos:R:3 pbc="T T T"
Cd 0.000 0.000 2.046
Os 1.865 0.000 0.000
Os 0.000 1.865 0.000
Be 1.865 1.865 2.046
```

Computed properties:
- Energy relative to the elements: 0.7110 eV/atom

Record order is preserved below.
Energy: -10.7197; -14.4366; -43.9210 eV per atom